# 1
Ta2BeAl | PBE | relaxed

* ΔH_f (0 K): -0.127 eV per atom
* symmetry: P4/mmm
* E: -31.7 eV per formula unit

Cell: 2.8172 2.8172 7.6430 Å, 90.00 90.00 90.00°
Last column: nearest neighbours and their distance in Å.
Sites, in units of the cell vectors:
Ta 0.0000 0.0000 0.2206  4 Be 2.61, 4 Ta 2.82, 4 Al 2.92
Ta 0.0000 0.0000 0.7794  4 Be 2.61, 4 Ta 2.82, 4 Al 2.92
Be 0.5000 0.5000 0.0000  8 Ta 2.61, 4 Be 2.82
Al 0.5000 0.5000 0.5000  4 Al 2.82, 8 Ta 2.92

# 2
Li8Mg2In | PBE | relaxed

* ΔH_f (0 K): -0.036 eV per atom
* symmetry: C2/m
* E: -21.6 eV per formula unit

Cell: 7.9987 7.9987 5.0949 Å, 106.97 106.97 122.83°
Last column: nearest neighbours and their distance in Å.
Sites, in units of the cell vectors:
Li 0.1057 0.3297 0.6740  3 Li 2.65-2.87
Li 0.2030 0.7970 0.0000  1 In 2.85, 4 Mg 2.95-3.04, 4 Li 3.04-3.13
Li 0.3297 0.1057 0.6740  3 Li 2.65-2.87
Li 0.4262 0.4262 0.2060  3 Li 2.47-2.66, 1 In 2.75
Li 0.5738 0.5738 0.7940  3 Li 2.47-2.66, 1 In 2.75
Li 0.6703 0.8943 0.3260  3 Li 2.65-2.87
Li 0.7970 0.2030 0.0000  1 In 2.85, 4 Mg 2.95-3.04, 4 Li 3.04-3.13
Li 0.8943 0.6703 0.3260  3 Li 2.65-2.87
Mg 0.3096 0.6904 0.5000  10 Li 2.95-3.08
Mg 0.6904 0.3096 0.5000  10 Li 2.95-3.08
In 0.0000 0.0000 0.0000  4 Li 2.75-2.85

# 3
LiNb2W | PBE | relaxed

* ΔH_f (0 K): 0.238 eV per atom
* symmetry: Fm-3m
* E: -34.1 eV per formula unit

Cell: 4.5525 4.5525 4.5525 Å, 60.00 60.00 60.00°
Last column: nearest neighbours and their distance in Å.
Sites, in units of the cell vectors:
Li 0.0000 0.0000 0.0000  8 Nb 2.79
Nb 0.2500 0.2500 0.2500  4 W 2.79, 4 Li 2.79
Nb 0.7500 0.7500 0.7500  4 W 2.79, 4 Li 2.79
W 0.5000 0.5000 0.5000  8 Nb 2.79

# 4
MgTe2AsN | PBE | relaxed

* formation energy from raw total energies: 0.76 eV per atom
* symmetry: P4/mmm
* E: -17.0 eV per formula unit

Cell: 5.5575 5.5575 3.9132 Å, 90.00 90.00 90.00°
Last column: nearest neighbours and their distance in Å.
Sites, in units of the cell vectors:
Mg 0.0000 0.0000 0.0000  2 N 1.96
Te 0.0000 0.5000 0.0000  2 Mg 2.78
Te 0.5000 0.0000 0.0000  2 Mg 2.78
As 0.5000 0.5000 0.5000  8 Te 3.40
N 0.0000 0.0000 0.5000  2 Mg 1.96

# 5
Ac2Sb4PdRh3 | PBE | relaxed

* formation energy from raw total energies: -0.87 eV per atom
* symmetry: P-4m2
* E: -60.6 eV per formula unit

Cell: 4.6918 4.6918 10.5123 Å, 90.00 90.00 90.00°
Last column: nearest neighbours and their distance in Å.
Sites, in units of the cell vectors:
Ac 0.0000 0.5000 0.2445  6 Rh 3.48-3.61, 2 Pd 3.48, 8 Sb 3.53-3.57
Ac 0.5000 0.0000 0.7555  6 Rh 3.48-3.61, 2 Pd 3.48, 8 Sb 3.53-3.57
Sb 0.0000 0.0000 0.5000  4 Rh 2.66
Sb 0.0000 0.5000 0.8697  3 Rh 2.63-2.72, 2 Pd 2.72
Sb 0.5000 0.0000 0.1303  3 Rh 2.63-2.72, 2 Pd 2.72
Sb 0.5000 0.5000 0.5000  4 Rh 2.66
Pd 0.5000 0.5000 0.0000  4 Sb 2.72
Rh 0.0000 0.0000 0.0000  4 Sb 2.72
Rh 0.0000 0.5000 0.6191  5 Sb 2.63-2.66
Rh 0.5000 0.0000 0.3809  5 Sb 2.63-2.66

# 6
Dy5TlGe2 | PBE | relaxed

* ΔH_f (0 K): -0.630 eV per atom
* symmetry: I4/mcm
* E: -39.6 eV per formula unit

Cell: 8.8551 8.8551 8.8551 Å, 127.51 127.51 77.42°
Last column: nearest neighbours and their distance in Å.
Sites, in units of the cell vectors:
Dy 0.0000 0.0000 0.0000  4 Ge 3.01
Dy 0.0193 0.5193 0.8204  3 Ge 2.92-3.07
Dy 0.1989 0.0193 0.5000  3 Ge 2.92-3.07
Dy 0.3011 0.8011 0.8204  3 Ge 2.92-3.07
Dy 0.4807 0.3011 0.5000  3 Ge 2.92-3.07
Dy 0.5000 0.5000 0.0000  4 Ge 3.01
Dy 0.5193 0.6989 0.5000  3 Ge 2.92-3.07
Dy 0.6989 0.1989 0.1796  3 Ge 2.92-3.07
Dy 0.8011 0.9807 0.5000  3 Ge 2.92-3.07
Dy 0.9807 0.4807 0.1796  3 Ge 2.92-3.07
Tl 0.2500 0.2500 0.0000  10 Dy 3.31-3.45
Tl 0.7500 0.7500 0.0000  10 Dy 3.31-3.45
Ge 0.1430 0.3570 0.5000  8 Dy 2.92-3.07, 1 Ge 3.17
Ge 0.3570 0.8570 0.2140  8 Dy 2.92-3.07, 1 Ge 3.17
Ge 0.6430 0.1430 0.7860  8 Dy 2.92-3.07, 1 Ge 3.17
Ge 0.8570 0.6430 0.5000  8 Dy 2.92-3.07, 1 Ge 3.17

# 7
CaAg2Ir | PBE | relaxed

* ΔH_f (0 K): 0.109 eV per atom
* symmetry: F-43m
* E: -16.1 eV per formula unit

Cell: 4.7667 4.7667 4.7667 Å, 60.00 60.00 60.00°
Last column: nearest neighbours and their distance in Å.
Sites, in units of the cell vectors:
Ca 0.0000 0.0000 0.0000  4 Ag 2.92, 4 Ir 2.92
Ag 0.5000 0.5000 0.5000  4 Ir 2.92, 4 Ag 2.92
Ag 0.7500 0.7500 0.7500  4 Ca 2.92, 4 Ag 2.92
Ir 0.2500 0.2500 0.2500  4 Ca 2.92, 4 Ag 2.92

# 8
BeFeAs | PBE | relaxed

* ΔH_f (0 K): 0.174 eV per atom
* symmetry: I4mm
* E: -16.3 eV per formula unit

Cell: 6.1852 6.1852 6.1852 Å, 154.33 154.33 36.62°
Last column: nearest neighbours and their distance in Å.
Sites, in units of the cell vectors:
Be 0.0000 0.0000 0.0000  4 Fe 2.25
Fe 0.5958 0.5958 0.0000  4 Be 2.25, 4 As 2.44
As 0.2216 0.2216 0.0000  4 Fe 2.44, 1 Be 2.60